1.
# LaTm2Hg6 PBE-GGA relaxed
data_LaTm2Hg6
_space_group_name_H-M_alt 'P 6/m m m'
_space_group_IT_number 191
_space_group_name_Hall '-P 6 2'
_cell_length_a 8.6595
_cell_length_b 8.6595
_cell_length_c 3.4376
_cell_angle_alpha 90.00
_cell_angle_beta 90.00
_cell_angle_gamma 120.00
loop_
_atom_site_label
_atom_site_type_symbol
_atom_site_fract_x
_atom_site_fract_y
_atom_site_fract_z
La1 La 0.0000 0.0000 0.0000
Tm1 Tm 0.3333 0.6667 0.0000
Hg1 Hg 0.0000 0.3372 0.5000
# total magnetic moment	0.0	μB per cell
# calculated formation energy	-0.3811	eV per atom
# energy	-2.12	eV/atom

2.
# Cs2LiHg3F12 PBE-GGA relaxed
data_Cs2LiHg3F12
_space_group_name_H-M_alt 'R -3 m'
_space_group_IT_number 166
_space_group_name_Hall '-R 3 2"'
_cell_length_a 8.2487
_cell_length_b 8.2487
_cell_length_c 17.8678
_cell_angle_alpha 90.00
_cell_angle_beta 90.00
_cell_angle_gamma 120.00
loop_
_atom_site_label
_atom_site_type_symbol
_atom_site_fract_x
_atom_site_fract_y
_atom_site_fract_z
Cs1 Cs 0.0000 0.0000 0.1355
Li1 Li 0.0000 0.0000 0.5000
Hg1 Hg 0.0000 0.5000 0.0000
F1 F 0.0647 0.5324 0.3708
F2 F 0.0854 0.5427 0.1102
# total magnetic moment	0.7	μB per cell
# formation energy from raw total energies	-31.2	eV per formula unit
# energy	-3.23	eV/atom

3.
# ZrFeOs2 PBE-GGA relaxed
data_ZrFeOs2
_space_group_name_H-M_alt 'P m m m'
_space_group_IT_number 47
_cell_length_a 3.0997
_cell_length_b 4.4116
_cell_length_c 4.5287
_cell_angle_alpha 90.00
_cell_angle_beta 90.00
_cell_angle_gamma 90.00
loop_
_space_group_symop_operation_xyz
'x,y,z'
'-x,-y,-z'
'-x,-y,z'
'x,y,-z'
'x,-y,-z'
'-x,y,z'
'-x,y,-z'
'x,-y,z'
loop_
_atom_site_label
_atom_site_type_symbol
_atom_site_fract_x
_atom_site_fract_y
_atom_site_fract_z
Zr1 Zr 0.0000 0.0000 0.0000
Fe1 Fe 0.5000 0.0000 0.5000
Os1 Os 0.0000 0.5000 0.5000
Os2 Os 0.5000 0.5000 0.0000
# total magnetic moment	2.9	μB per cell
# energy above the lowest structure with this stoichiometry	0.37	eV per formula unit
# calculated formation energy	0.0887	eV per atom
# energy	-9.78	eV/atom

4.
# SrCa12Cd5 PBE-GGA relaxed
data_SrCa12Cd5
_space_group_name_H-M_alt 'I m m m'
_space_group_IT_number 71
_space_group_name_Hall '-I 2 2'
_cell_length_a 10.2943
_cell_length_b 10.6264
_cell_length_c 11.9667
_cell_angle_alpha 90.00
_cell_angle_beta 90.00
_cell_angle_gamma 90.00
loop_
_atom_site_label
_atom_site_type_symbol
_atom_site_fract_x
_atom_site_fract_y
_atom_site_fract_z
Sr1 Sr 0.0000 0.0000 0.0000
Ca1 Ca 0.0000 0.3017 0.1806
Ca2 Ca 0.1821 0.2717 0.5000
Ca3 Ca 0.1971 0.0000 0.2690
Cd1 Cd 0.0000 0.0000 0.5000
Cd2 Cd 0.0000 0.5000 0.3785
Cd3 Cd 0.1469 0.5000 0.0000
# total magnetic moment	0.0	μB per cell
# calculated formation energy	-0.1649	eV per atom
# energy	-1.85	eV/atom

5.
# YSe3 PBE-GGA relaxed
data_YSe3
_space_group_name_H-M_alt 'P 1 2/m 1'
_space_group_IT_number 10
_cell_length_a 5.2412
_cell_length_b 4.0221
_cell_length_c 5.5489
_cell_angle_alpha 90.00
_cell_angle_beta 92.68
_cell_angle_gamma 90.00
loop_
_space_group_symop_operation_xyz
'x,y,z'
'-x,-y,-z'
'-x,y,-z'
'x,-y,z'
loop_
_atom_site_label
_atom_site_type_symbol
_atom_site_fract_x
_atom_site_fract_y
_atom_site_fract_z
Y1 Y 0.0000 0.0000 0.0000
Se1 Se 0.0000 0.0000 0.5000
Se2 Se 0.3676 0.5000 0.1759
# total magnetic moment	0.0	μB per cell
# formation energy from raw total energies	-3.5	eV per formula unit
# energy	-5.10	eV/atom

6.
# GdAlPtAu PBE-GGA relaxed
data_GdAlPtAu
_space_group_name_H-M_alt 'F -4 3 m'
_space_group_IT_number 216
_space_group_name_Hall 'F -4 2 3'
_cell_length_a 6.7843
_cell_length_b 6.7843
_cell_length_c 6.7843
_cell_angle_alpha 90.00
_cell_angle_beta 90.00
_cell_angle_gamma 90.00
loop_
_atom_site_label
_atom_site_type_symbol
_atom_site_fract_x
_atom_site_fract_y
_atom_site_fract_z
Gd1 Gd 0.0000 0.0000 0.0000
Al1 Al 0.0000 0.0000 0.5000
Pt1 Pt 0.2500 0.2500 0.7500
Au1 Au 0.2500 0.2500 0.2500
# total magnetic moment	28.3	μB per cell
# calculated formation energy	-0.7929	eV per atom
# energy	-7.58	eV/atom